This record from Alexandria describes crystalline Ce3BiS6 at its relaxed geometry. The functional is GGA-PBE.

Unit cell a=6.974 b=8.716 c=8.716 alpha=103.03 beta=90.00 gamma=90.00
Fractional coordinates of all 20 atoms:
S  0.741  0.992  0.008
S  0.617  0.230  0.770
S  0.685  0.634  0.691
S  0.707  0.903  0.438
S  0.207  0.097  0.562
S  0.185  0.366  0.309
S  0.707  0.562  0.097
S  0.207  0.438  0.903
S  0.241  0.008  0.992
S  0.685  0.309  0.366
S  0.185  0.691  0.634
S  0.117  0.770  0.230
Ce  0.983  0.712  0.915
Ce  0.483  0.288  0.085
Ce  0.983  0.085  0.288
Ce  0.483  0.915  0.712
Ce  0.889  0.599  0.401
Ce  0.389  0.401  0.599
Bi  0.989  0.170  0.830
Bi  0.489  0.830  0.170

Calculated values
Total energy (eV per atom): -6.21
Uncorrected formation energy (meV/atom): -1562

=====

This record from Alexandria describes crystalline Ce3BiS2 at its relaxed geometry. The functional is GGA-PBE.

Unit cell a=4.714 b=7.338 c=10.037 alpha=90.00 beta=90.00 gamma=108.73
Fractional coordinates of all 12 atoms:
S  0.495  0.991  0.250
S  0.505  0.009  0.750
S  0.000  0.000  0.000
S  0.000  0.000  0.500
Ce  0.902  0.803  0.250
Ce  0.371  0.742  0.956
Ce  0.098  0.197  0.750
Ce  0.371  0.742  0.544
Ce  0.629  0.258  0.044
Ce  0.629  0.258  0.456
Bi  0.770  0.540  0.750
Bi  0.230  0.460  0.250

Calculated values
Total energy (eV per atom): -6.34
Uncorrected formation energy (meV/atom): -1347

=====

This record from Alexandria describes crystalline CeBi2S5 at its relaxed geometry. The functional is GGA-PBE.

Unit cell a=5.561 b=5.284 c=8.132 alpha=79.63 beta=70.01 gamma=58.25
Fractional coordinates of all 8 atoms:
Bi  0.819  0.500  0.863
Bi  0.181  0.500  0.137
Ce  0.500  0.500  0.500
S  0.179  0.840  0.802
S  0.000  0.500  0.500
S  0.821  0.160  0.198
S  0.519  0.160  0.802
S  0.481  0.840  0.198

Calculated values
Total energy (eV per atom): -4.84
Uncorrected formation energy (meV/atom): -546

=====

This record from Alexandria describes crystalline Ce2Sc2Bi2S at its relaxed geometry. The functional is GGA-PBE.

Unit cell a=4.816 b=4.816 c=8.925 alpha=105.65 beta=105.65 gamma=90.00
Fractional coordinates of all 7 atoms:
Ce  0.168  0.168  0.335
Ce  0.832  0.832  0.665
S  0.000  0.000  0.000
Bi  0.632  0.632  0.264
Bi  0.368  0.368  0.736
Sc  0.500  0.000  0.000
Sc  0.000  0.500  0.000

Calculated values
Total energy (eV per atom): -6.18
Uncorrected formation energy (meV/atom): -973

=====

This record from Alexandria describes crystalline Ce4BiSe2S at its relaxed geometry. The functional is GGA-PBE.

Unit cell a=4.249 b=7.366 c=7.445 alpha=70.73 beta=90.00 gamma=90.00
Fractional coordinates of all 8 atoms:
Ce  0.500  0.748  0.270
Ce  0.000  0.237  0.275
Ce  0.000  0.763  0.725
Ce  0.500  0.252  0.730
S  0.000  0.500  0.500
Bi  0.500  0.500  0.000
Se  0.500  0.000  0.500
Se  0.000  0.000  0.000

Calculated values
Total energy (eV per atom): -6.39
Uncorrected formation energy (meV/atom): -1551

=====

This record from Alexandria describes crystalline CeTl3Bi3S8 at its relaxed geometry. The functional is GGA-PBE.

Unit cell a=8.227 b=8.228 c=8.893 alpha=117.55 beta=90.00 gamma=119.99
Fractional coordinates of all 15 atoms:
S  0.263  0.526  0.290
S  0.771  0.543  0.299
S  0.229  0.973  0.701
S  0.737  0.474  0.710
S  0.229  0.457  0.701
S  0.744  0.973  0.701
S  0.771  0.027  0.299
S  0.256  0.027  0.299
Bi  0.500  0.000  0.500
Bi  0.500  0.500  0.500
Bi  0.000  0.500  0.500
Tl  0.500  0.500  0.000
Tl  0.000  0.500  0.000
Tl  0.000  0.000  0.000
Ce  0.000  0.000  0.500

Calculated values
Total energy (eV per atom): -4.54
Uncorrected formation energy (meV/atom): -691

=====

This record from Alexandria describes crystalline CeTl4Bi3S8 at its relaxed geometry. The functional is GGA-PBE.

Unit cell a=8.321 b=8.881 c=8.322 alpha=117.97 beta=120.00 gamma=90.00
Fractional coordinates of all 16 atoms:
S  0.262  0.294  0.027
S  0.766  0.294  0.532
S  0.766  0.294  0.027
S  0.234  0.706  0.468
S  0.263  0.290  0.527
S  0.234  0.706  0.973
S  0.738  0.706  0.973
S  0.737  0.710  0.473
Ce  0.000  0.500  0.000
Tl  0.000  0.000  0.000
Tl  0.000  0.000  0.500
Tl  0.500  0.000  0.000
Tl  0.500  0.000  0.500
Bi  0.000  0.500  0.500
Bi  0.500  0.500  0.500
Bi  0.500  0.500  0.000

Calculated values
Total energy (eV per atom): -4.42
Uncorrected formation energy (meV/atom): -665

=====

This record from Alexandria describes crystalline Ce5Bi2Sb at its relaxed geometry. The functional is GGA-PBE.

Unit cell a=6.087 b=6.349 c=14.299 alpha=90.00 beta=90.00 gamma=118.64
Fractional coordinates of all 16 atoms:
Ce  0.554  0.107  0.250
Ce  0.073  0.146  0.422
Ce  0.596  0.193  0.944
Ce  0.446  0.893  0.750
Ce  0.404  0.807  0.056
Ce  0.596  0.193  0.556
Ce  0.073  0.146  0.078
Ce  0.927  0.854  0.578
Ce  0.404  0.807  0.444
Ce  0.927  0.854  0.922
Bi  0.213  0.425  0.619
Bi  0.213  0.425  0.881
Bi  0.787  0.575  0.119
Bi  0.787  0.575  0.381
Sb  0.756  0.511  0.750
Sb  0.244  0.489  0.250

Calculated values
ΔE to the lowest computed polymorph (meV/atom): 296
Total energy (eV per atom): -5.51
Uncorrected formation energy (meV/atom): -320

=====

This record from Alexandria describes crystalline CeBi2Sb at its relaxed geometry. The functional is GGA-PBE.

Unit cell a=4.420 b=4.420 c=6.286 alpha=90.00 beta=90.00 gamma=90.00
Fractional coordinates of all 4 atoms:
Bi  0.000  0.000  0.251
Bi  0.000  0.000  0.749
Sb  0.500  0.500  0.000
Ce  0.500  0.500  0.500

Calculated values
ΔE to the lowest computed polymorph (meV/atom): 139
Total energy (eV per atom): -4.80
Uncorrected formation energy (meV/atom): -346

=====

This record from Alexandria describes crystalline Ce10Bi3Sb3 at its relaxed geometry. The functional is GGA-PBE.

Unit cell a=6.411 b=9.418 c=9.418 alpha=120.00 beta=90.00 gamma=90.00
Fractional coordinates of all 16 atoms:
Ce  0.240  0.333  0.667
Ce  0.500  0.743  0.000
Ce  0.500  0.257  0.257
Ce  0.760  0.667  0.333
Ce  0.000  0.000  0.256
Ce  0.760  0.333  0.667
Ce  0.000  0.744  0.744
Ce  0.000  0.256  0.000
Ce  0.500  0.000  0.743
Ce  0.240  0.667  0.333
Bi  0.500  0.615  0.615
Bi  0.500  0.000  0.385
Bi  0.500  0.385  0.000
Sb  0.000  0.000  0.618
Sb  0.000  0.618  0.000
Sb  0.000  0.382  0.382

Calculated values
Total energy (eV per atom): -5.90
Uncorrected formation energy (meV/atom): -686

=====

This record from Alexandria describes crystalline Ce4Bi2Sb at its relaxed geometry. The functional is GGA-PBE.

Unit cell a=8.328 b=8.328 c=8.328 alpha=109.38 beta=109.64 gamma=109.38
Fractional coordinates of all 14 atoms:
Ce  0.276  0.248  0.881
Ce  0.778  0.252  0.883
Ce  0.119  0.395  0.367
Ce  0.972  0.605  0.724
Ce  0.633  0.752  0.028
Ce  0.631  0.748  0.526
Ce  0.117  0.895  0.369
Ce  0.474  0.105  0.222
Bi  0.253  0.628  0.125
Bi  0.375  0.872  0.747
Bi  0.875  0.128  0.503
Bi  0.497  0.372  0.625
Sb  0.000  0.000  0.000
Sb  0.750  0.500  0.250

Calculated values
Total energy (eV per atom): -5.85
Uncorrected formation energy (meV/atom): -760

=====

This record from Alexandria describes crystalline Ce2BiSb at its relaxed geometry. The functional is GGA-PBE.

Unit cell a=5.501 b=5.501 c=5.501 alpha=60.00 beta=60.00 gamma=60.00
Fractional coordinates of all 4 atoms:
Bi  0.000  0.000  0.000
Ce  0.250  0.250  0.250
Ce  0.750  0.750  0.750
Sb  0.500  0.500  0.500

Calculated values
ΔE to the lowest computed polymorph (meV/atom): 172
Total energy (eV per atom): -5.71
Uncorrected formation energy (meV/atom): -743

=====

Which formula does entry 11 have? Ce4Bi2Sb